! PBE-GGA Cs2HgO3, optimized geometry; values from VASP
&SYSTEM
  ibrav = 0, nat = 12, ntyp = 3
/
ATOMIC_SPECIES
O 16.00 O.upf
Hg 200.59 Hg.upf
Cs 132.91 Cs.upf
ATOMIC_POSITIONS angstrom
O 1.755 5.096 2.205
O 1.780 1.028 6.618
Hg 3.535 2.041 6.618
O 5.291 1.028 6.618
Cs 0.000 4.082 6.617
O 0.000 2.055 2.205
O -1.755 5.096 2.205
Cs 3.535 2.041 2.206
Hg 0.000 4.082 2.205
Cs 0.000 0.000 4.411
Cs 0.000 0.000 0.000
O 3.535 4.068 6.618
CELL_PARAMETERS angstrom
7.071 0.000 0.000
-3.535 6.123 0.000
0.000 0.000 8.823
! ρ	4.47	g/cm³
! total DFT energy (no corrections)	-20.0	eV per formula unit
! SG	P6_3/mmc, No. 194